Entry 1:
Entry from the Alexandria database: a geometry-optimized Ac4OsSI2 structure (PBE-GGA).

Values from the calculation:
Its symmetry is No. 10. The calculation puts the density of states at the Fermi level at 5.81 states/eV/f.u. The calculation puts the total magnetization at 0.00 μB per atom. The calculation puts the uncorrected formation energy at -8.30 eV per formula unit. The volume is 289.8 Å³/cell.

Unit cell a=4.3457 b=7.9001 c=8.7916 alpha=106.21 beta=90.00 gamma=90.00
With the nearest neighbours (Å) after each atom.
Element x y z (fractional)
1 I 0.0000 0.5000 0.5000  6 Ac 3.59-3.63
2 I 0.5000 0.0000 0.5000  6 Ac 3.74-3.75
3 Os 0.5000 0.5000 0.0000  6 Ac 2.94-2.97
4 Ac 0.5000 0.2432 0.1906  1 Os 2.97, 2 S 3.07
5 Ac 0.0000 0.7098 0.1866  2 Os 2.94, 1 S 3.17
6 Ac 0.5000 0.7568 0.8094  1 Os 2.97, 2 S 3.07
7 Ac 0.0000 0.2902 0.8134  2 Os 2.94, 1 S 3.17
8 S 0.0000 0.0000 0.0000  6 Ac 3.07-3.17



Entry 2:
Entry from the Alexandria database: a geometry-optimized Ac8Os3SI4 structure (PBE-GGA).

Values from the calculation:
Its symmetry is No. 166. The calculation puts the density of states at the Fermi level at 8.69 states/eV/f.u. The calculation puts the total magnetization at 0.00 μB per atom. The calculation puts the uncorrected formation energy at -13.35 eV per formula unit. The volume is 581.3 Å³/cell.

Unit cell a=8.8682 b=9.9521 c=8.8663 alpha=116.43 beta=120.01 gamma=90.00
With the nearest neighbours (Å) after each atom.
Element x y z (fractional)
1 Ac 0.7121 0.6834 0.9478  2 Os 2.95, 1 S 3.10
2 Ac 0.2879 0.3166 0.0522  2 Os 2.95, 1 S 3.10
3 Ac 0.2357 0.6834 0.9478  2 Os 2.95, 1 S 3.10
4 Ac 0.7644 0.3168 0.5288  2 Os 2.95, 1 S 3.10
5 Ac 0.7643 0.3166 0.0522  2 Os 2.95, 1 S 3.10
6 Ac 0.7296 0.6889 0.4592  3 Os 3.03
7 Ac 0.2704 0.3111 0.5408  3 Os 3.03
8 Ac 0.2356 0.6832 0.4712  2 Os 2.95, 1 S 3.10
9 Os 0.5000 0.5000 0.5000  6 Ac 2.95-3.03
10 Os 0.5000 0.5000 0.0000  6 Ac 2.95-3.03
11 Os 0.0000 0.5000 0.5000  6 Ac 2.95-3.03
12 I 0.0000 0.0000 0.0000  6 Ac 3.69-3.77
13 I 0.0000 0.0000 0.5000  6 Ac 3.69-3.77
14 I 0.5000 0.0000 0.5000  6 Ac 3.69-3.77
15 I 0.5000 0.0000 0.0000  6 Ac 3.64
16 S 0.0000 0.5000 0.0000  6 Ac 3.10



Entry 3:
Entry from the Alexandria database: a geometry-optimized Ac4SbOsI2 structure (PBE-GGA).

Values from the calculation:
Its symmetry is No. 10. The calculation puts the density of states at the Fermi level at 4.80 states/eV/f.u. The calculation puts the total magnetization at 0.00 μB per atom. The calculation puts the uncorrected formation energy at -6.93 eV per formula unit. The volume is 316.1 Å³/cell.

Unit cell a=4.4889 b=8.3625 c=8.7631 alpha=106.10 beta=90.00 gamma=90.00
With the nearest neighbours (Å) after each atom.
Element x y z (fractional)
1 Ac 0.0000 0.2985 0.8116  2 Os 3.01, 1 Sb 3.35
2 Ac 0.5000 0.7297 0.8054  1 Os 2.90
3 Ac 0.5000 0.2703 0.1946  1 Os 2.90
4 Ac 0.0000 0.7015 0.1884  2 Os 3.01, 1 Sb 3.35
5 I 0.5000 0.0000 0.5000  6 Ac 3.87-3.95
6 I 0.0000 0.5000 0.5000  6 Ac 3.58-3.61
7 Os 0.5000 0.5000 0.0000  6 Ac 2.90-3.01
8 Sb 0.0000 0.0000 0.0000  6 Ac 3.30-3.35